(1)
GdErMnIr | PBE | relaxed

Cell: 4.906 4.906 4.906 Å, 60.00 60.00 60.00°
Sites, in units of the cell vectors:
Gd 0.500 0.500 0.500
Ir 0.750 0.750 0.750
Mn 0.250 0.250 0.250
Er 0.000 0.000 0.000

Output
- Energy: -9.475 eV/atom
- ΔH_f (0 K): -0.31 eV per atom
- Space-group type: F-43m

(2)
GdErNiIr | PBE | relaxed

Cell: 4.822 4.822 4.822 Å, 60.00 60.00 60.00°
Sites, in units of the cell vectors:
Gd 0.250 0.250 0.250
Ni 0.000 0.000 0.000
Ir 0.500 0.500 0.500
Er 0.750 0.750 0.750

Output
- Energy: -8.956 eV/atom
- ΔH_f (0 K): -0.63 eV per atom
- Space-group type: F-43m